# 1
RbNbGeS5 after structural relaxation. Source: the Open Quantum Materials Database, functional PBE.

Unit cell a=7.080 b=7.253 c=9.227 alpha=68.96 beta=78.21 gamma=75.47
Positions (direct):
S1 0.779 0.125 0.705
S2 0.221 0.875 0.295
Ge1 0.978 0.707 0.376
S3 0.559 0.772 0.970
S4 0.308 0.126 0.708
S5 0.931 0.247 0.992
Nb1 0.237 0.042 0.004
S6 0.068 0.391 0.357
Rb1 0.406 0.641 0.690
Nb2 0.763 0.958 0.996
Ge2 0.022 0.293 0.624
S7 0.692 0.874 0.292
Rb2 0.594 0.359 0.310
S8 0.441 0.228 0.030
S9 0.932 0.609 0.643
S10 0.069 0.753 0.008

## Properties
**Theoretical density**: 3.217 g/cm3
**Calculated total energy**: -5.3439 eV/atom
**Total moment**: 0.0 μB per cell


# 2
Rb4NbGeTe6 after structural relaxation. Source: the Open Quantum Materials Database, functional PBE.

Unit cell a=7.625 b=8.134 c=9.956 alpha=73.89 beta=72.91 gamma=67.76
Positions (direct):
Rb1 0.848 0.531 0.827
Te1 0.663 0.393 0.215
Te2 0.221 0.034 0.029
Nb1 0.139 0.943 0.820
Ge1 0.856 0.059 0.186
Te3 0.340 0.611 0.781
Rb2 0.383 0.802 0.389
Te4 0.866 0.807 0.415
Te5 0.778 0.965 0.968
Te6 0.134 0.190 0.586
Rb3 0.148 0.470 0.181
Rb4 0.624 0.194 0.602

## Properties
**Theoretical density**: 3.940 g/cm3
**Calculated total energy**: -3.8036 eV/atom
**Total moment**: 1.0 μB per cell


# 3
NbReGe after structural relaxation. Source: the Open Quantum Materials Database, functional PBE.

Unit cell a=4.311 b=4.311 c=4.311 alpha=60.00 beta=60.00 gamma=60.00
Positions (direct):
Nb1 0.750 0.750 0.750
Re1 0.000 0.000 0.000
Ge1 0.250 0.250 0.250

## Properties
**Offset from the most stable computed form**: 0.0 meV/atom
**Theoretical density**: 10.311 g/cm3
**Total moment**: 0.0 μB per cell


# 4
Nb2ReGe after structural relaxation. Source: the Open Quantum Materials Database, functional PBE.

Unit cell a=4.519 b=4.519 c=4.519 alpha=60.00 beta=60.00 gamma=60.00
Positions (direct):
Ge1 0.500 0.500 0.500
Re1 0.250 0.250 0.250
Nb1 0.750 0.750 0.750
Nb2 0.000 0.000 0.000

## Properties
**Theoretical density**: 11.315 g/cm3
**Calculated total energy**: -9.2711 eV/atom
**Total moment**: 0.0 μB per cell


# 5
ScNb2Ge2Sb after structural relaxation. Source: the Open Quantum Materials Database, functional PBE.

Unit cell a=4.033 b=4.033 c=7.644 alpha=90.00 beta=90.00 gamma=90.00
Positions (direct):
Ge1 0.500 0.500 0.274
Ge2 0.000 0.000 0.751
Sc1 0.500 0.500 0.664
Nb1 0.000 0.500 0.003
Nb2 0.500 0.000 0.003
Sb1 0.000 0.000 0.305

## Properties
**Theoretical density**: 6.648 g/cm3
**Calculated total energy**: -6.9017 eV/atom
**Total moment**: 0.0 μB per cell


# 6
TbNb2Ge2Sb after structural relaxation. Source: the Open Quantum Materials Database, functional PBE.

Unit cell a=4.069 b=4.069 c=7.909 alpha=90.00 beta=90.00 gamma=90.00
Positions (direct):
Sb1 0.000 0.000 0.301
Nb1 0.000 0.500 0.007
Ge1 0.000 0.000 0.768
Tb1 0.500 0.500 0.653
Nb2 0.500 0.000 0.007
Ge2 0.500 0.500 0.264

## Properties
**Theoretical density**: 7.760 g/cm3
**Calculated total energy**: -6.6921 eV/atom
**Total moment**: 0.0 μB per cell


# 7
TmNb2Ge2Sb after structural relaxation. Source: the Open Quantum Materials Database, functional PBE.

Unit cell a=4.059 b=4.059 c=7.801 alpha=90.00 beta=90.00 gamma=90.00
Positions (direct):
Ge1 0.500 0.500 0.268
Nb1 0.000 0.500 0.006
Nb2 0.500 0.000 0.006
Sb1 0.000 0.000 0.304
Tm1 0.500 0.500 0.655
Ge2 0.000 0.000 0.761

## Properties
**Theoretical density**: 8.033 g/cm3
**Calculated total energy**: -6.6383 eV/atom
**Total moment**: 0.0 μB per cell


# 8
YNb2Ge2Sb after structural relaxation. Source: the Open Quantum Materials Database, functional PBE.

Unit cell a=4.063 b=4.063 c=7.878 alpha=90.00 beta=90.00 gamma=90.00
Positions (direct):
Nb1 0.500 0.000 0.008
Ge1 0.500 0.500 0.264
Y1 0.500 0.500 0.649
Sb1 0.000 0.000 0.302
Nb2 0.000 0.500 0.008
Ge2 0.000 0.000 0.768

## Properties
**Theoretical density**: 6.917 g/cm3
**Calculated total energy**: -6.9987 eV/atom
**Total moment**: 0.0 μB per cell


# 9
ScNb2Ge2 after structural relaxation. Source: the Open Quantum Materials Database, functional PBE.

Unit cell a=6.602 b=6.602 c=6.602 alpha=144.90 beta=144.90 gamma=50.48
Positions (direct):
Nb1 0.750 0.250 0.500
Ge1 0.600 0.600 0.000
Nb2 0.250 0.750 0.500
Sc1 0.000 0.000 0.000
Ge2 0.400 0.400 0.000

## Properties
**Theoretical density**: 6.598 g/cm3
**Calculated total energy**: -7.6205 eV/atom
**Total moment**: 0.0 μB per cell


# 10
ScNbGe2 after structural relaxation. Source: the Open Quantum Materials Database, functional PBE.

Unit cell a=4.691 b=4.691 c=4.691 alpha=60.00 beta=60.00 gamma=60.00
Positions (direct):
Ge1 0.500 0.500 0.500
Ge2 0.750 0.750 0.750
Sc1 0.000 0.000 0.000
Nb1 0.250 0.250 0.250

## Properties
**Theoretical density**: 6.439 g/cm3
**Calculated total energy**: -6.2646 eV/atom
**Total moment**: 0.2 μB per cell


# 11
TmScNb2Ge2 after structural relaxation. Source: the Open Quantum Materials Database, functional PBE.

Unit cell a=3.975 b=3.975 c=7.606 alpha=90.00 beta=90.00 gamma=90.00
Positions (direct):
Ge1 0.500 0.500 0.745
Nb1 0.000 0.500 0.003
Ge2 0.000 0.000 0.258
Sc1 0.500 0.500 0.349
Tm1 0.000 0.000 0.643
Nb2 0.500 0.000 0.003

## Properties
**Theoretical density**: 7.529 g/cm3
**Calculated total energy**: -7.3422 eV/atom
**Total moment**: 1.0 μB per cell


# 12
YScNb2Ge2 after structural relaxation. Source: the Open Quantum Materials Database, functional PBE.

Unit cell a=3.987 b=3.987 c=7.688 alpha=90.00 beta=90.00 gamma=90.00
Positions (direct):
Nb1 0.000 0.500 0.003
Ge1 0.500 0.500 0.750
Ge2 0.000 0.000 0.255
Sc1 0.500 0.500 0.348
Y1 0.000 0.000 0.642
Nb2 0.500 0.000 0.003

## Properties
**Theoretical density**: 6.318 g/cm3
**Calculated total energy**: -7.6773 eV/atom
**Total moment**: 1.1 μB per cell